## P
! Zr2ReCl | Alexandria | meta-GGA SCAN | single point on PBEsol structure; values from VASP
&SYSTEM
  ibrav = 0, nat = 4, ntyp = 3
/
ATOMIC_SPECIES
Zr 91.22 Zr.upf
Cl 35.45 Cl.upf
Re 186.21 Re.upf
CELL_PARAMETERS angstrom
3.004 0.004 0.000
-1.268 2.723 0.000
0.000 0.000 9.642
ATOMIC_POSITIONS crystal
Zr 0.500 0.500 0.738
Zr 0.000 0.000 0.010
Cl 0.000 0.000 0.534
Re 0.500 0.500 0.218
! Space group ... Cmm2, No. 35
! ρ ... 8.504 g/cm³
! Density of states at the Fermi level ... 3.40 states/eV per cell
! Volume ... 79 Å³ per cell

=====

## Q
! Zr2ReCl | Alexandria | meta-GGA SCAN | single point on PBEsol structure; values from VASP
&SYSTEM
  ibrav = 0, nat = 4, ntyp = 3
/
ATOMIC_SPECIES
Cl 35.45 Cl.upf
Re 186.21 Re.upf
Zr 91.22 Zr.upf
CELL_PARAMETERS angstrom
-1.181 2.577 -1.629
-2.439 1.764 1.277
4.211 6.263 3.575
ATOMIC_POSITIONS crystal
Cl 0.500 0.500 0.500
Re 0.000 0.000 0.000
Zr 0.745 0.745 0.765
Zr 0.255 0.255 0.235
! Space group ... R-3m, No. 166
! ρ ... 8.909 g/cm³
! Density of states at the Fermi level ... 2.63 states/eV per cell
! Volume ... 75 Å³ per cell

=====

Which of them is most stable? Easy: Q.

=====

## P
! Cr2PtW | Alexandria | meta-GGA SCAN | single point on PBEsol structure; values from VASP
&SYSTEM
  ibrav = 0, nat = 4, ntyp = 3
/
ATOMIC_SPECIES
Cr 52.00 Cr.upf
W 183.84 W.upf
Pt 195.08 Pt.upf
CELL_PARAMETERS angstrom
3.659 0.000 0.000
0.000 3.813 0.000
0.000 0.000 3.813
ATOMIC_POSITIONS crystal
Cr 0.000 0.500 0.000
Cr 0.000 0.000 0.500
W 0.500 0.000 0.000
Pt 0.500 0.500 0.500
! Space group ... P4/mmm, No. 123
! ρ ... 15.072 g/cm³
! Density of states at the Fermi level ... 4.09 states/eV per cell
! Volume ... 53 Å³ per cell

=====

## Q
! Cr2PtW | Alexandria | meta-GGA SCAN | single point on PBEsol structure; values from VASP
&SYSTEM
  ibrav = 0, nat = 4, ntyp = 3
/
ATOMIC_SPECIES
Cr 52.00 Cr.upf
Pt 195.08 Pt.upf
W 183.84 W.upf
CELL_PARAMETERS angstrom
3.787 0.000 0.000
0.000 3.787 0.000
-1.893 -1.893 3.731
ATOMIC_POSITIONS crystal
Cr 0.750 0.250 0.500
Cr 0.250 0.750 0.500
Pt 0.500 0.500 0.000
W 0.000 0.000 0.000
! Space group ... I4/mmm, No. 139
! ρ ... 14.987 g/cm³
! Density of states at the Fermi level ... 4.41 states/eV per cell
! Volume ... 54 Å³ per cell

=====

Which of them is most stable? Easy: P.

=====

## P
! LiTlW2 | Alexandria | meta-GGA SCAN | single point on PBEsol structure; values from VASP
&SYSTEM
  ibrav = 0, nat = 4, ntyp = 3
/
ATOMIC_SPECIES
W 183.84 W.upf
Li 6.94 Li.upf
Tl 204.38 Tl.upf
CELL_PARAMETERS angstrom
2.740 0.000 0.000
0.000 5.256 0.000
0.000 -2.628 4.640
ATOMIC_POSITIONS crystal
W 0.000 0.000 0.500
W 0.000 0.500 0.500
Li 0.500 0.000 0.000
Tl 0.500 0.500 0.000
! Space group ... Cmmm, No. 65
! ρ ... 14.384 g/cm³
! Density of states at the Fermi level ... 2.27 states/eV per cell
! Volume ... 67 Å³ per cell

=====

## Q
! LiTlW2 | Alexandria | meta-GGA SCAN | single point on PBEsol structure; values from VASP
&SYSTEM
  ibrav = 0, nat = 4, ntyp = 3
/
ATOMIC_SPECIES
Li 6.94 Li.upf
W 183.84 W.upf
Tl 204.38 Tl.upf
CELL_PARAMETERS angstrom
-1.174 -2.450 0.903
1.591 -1.913 1.416
-2.259 2.813 9.231
ATOMIC_POSITIONS crystal
Li 0.498 0.498 0.505
W 0.003 0.003 0.990
W 0.750 0.750 0.750
Tl 0.248 0.248 0.255
! Space group ... R3m, No. 160
! ρ ... 13.867 g/cm³
! Density of states at the Fermi level ... 2.47 states/eV per cell
! Volume ... 69 Å³ per cell

=====

Which of them is most stable? Easy: Q.

=====

## P
! Zn2TeP | Alexandria | meta-GGA SCAN | single point on PBEsol structure; values from VASP
&SYSTEM
  ibrav = 0, nat = 4, ntyp = 3
/
ATOMIC_SPECIES
Te 127.60 Te.upf
P 30.97 P.upf
Zn 65.41 Zn.upf
CELL_PARAMETERS angstrom
3.741 0.000 0.000
0.000 3.741 0.000
-1.870 -1.870 5.506
ATOMIC_POSITIONS crystal
Te 0.250 0.750 0.500
P 0.500 0.500 0.000
Zn 0.000 0.000 0.000
Zn 0.750 0.250 0.500
! Space group ... I-4m2, No. 119
! ρ ... 6.237 g/cm³
! Density of states at the Fermi level ... 1.88 states/eV per cell
! Volume ... 77 Å³ per cell

=====

## Q
! Zn2TeP | Alexandria | meta-GGA SCAN | single point on PBEsol structure; values from VASP
&SYSTEM
  ibrav = 0, nat = 8, ntyp = 3
/
ATOMIC_SPECIES
Zn 65.41 Zn.upf
Te 127.60 Te.upf
P 30.97 P.upf
CELL_PARAMETERS angstrom
5.697 0.000 0.000
0.000 5.697 0.000
-2.849 -2.849 5.687
ATOMIC_POSITIONS crystal
Zn 0.125 0.176 0.750
Zn 0.625 0.574 0.750
Zn 0.824 0.375 0.250
Zn 0.426 0.875 0.250
Te 0.250 0.750 0.500
Te 0.000 0.000 0.000
P 0.500 0.500 0.000
P 0.750 0.250 0.500
! Space group ... I-42d, No. 122
! ρ ... 5.206 g/cm³
! Density of states at the Fermi level ... 4.64 states/eV per cell
! Volume ... 185 Å³ per cell

=====

Which of them is most stable? Easy: Q.

=====

## P
! LiAl2 | Alexandria | meta-GGA SCAN | single point on PBEsol structure; values from VASP
&SYSTEM
  ibrav = 0, nat = 3, ntyp = 2
/
ATOMIC_SPECIES
Al 26.98 Al.upf
Li 6.94 Li.upf
CELL_PARAMETERS angstrom
-0.966 1.766 2.011
-2.881 1.302 -2.527
-0.652 -4.530 1.651
ATOMIC_POSITIONS crystal
Al 0.670 0.670 0.340
Al 0.330 0.330 0.660
Li 0.000 0.000 0.000
! Space group ... Immm, No. 71
! ρ ... 2.096 g/cm³
! Density of states at the Fermi level ... 1.00 states/eV per cell
! Volume ... 48 Å³ per cell

=====

## Q
! LiAl2 | Alexandria | meta-GGA SCAN | single point on PBEsol structure; values from VASP
&SYSTEM
  ibrav = 0, nat = 3, ntyp = 2
/
ATOMIC_SPECIES
Al 26.98 Al.upf
Li 6.94 Li.upf
CELL_PARAMETERS angstrom
2.878 0.000 0.000
0.000 4.437 0.000
0.000 -2.219 3.843
ATOMIC_POSITIONS crystal
Al 0.361 0.667 0.333
Al 0.639 0.333 0.667
Li 0.000 0.000 0.000
! Space group ... P-3m1, No. 164
! ρ ... 2.061 g/cm³
! Density of states at the Fermi level ... 1.21 states/eV per cell
! Volume ... 49 Å³ per cell

=====

Which of them is most stable? Easy: P.

=====

## P
! HgTeIr2 | Alexandria | meta-GGA SCAN | single point on PBEsol structure; values from VASP
&SYSTEM
  ibrav = 0, nat = 4, ntyp = 3
/
ATOMIC_SPECIES
Hg 200.59 Hg.upf
Ir 192.22 Ir.upf
Te 127.60 Te.upf
CELL_PARAMETERS angstrom
-3.109 -1.826 0.517
2.081 -2.792 2.648
-0.931 2.556 3.427
ATOMIC_POSITIONS crystal
Hg 0.500 0.000 0.000
Ir 0.000 0.000 0.500
Ir 0.000 0.500 0.000
Te 0.500 0.500 0.500
! Space group ... P4/mmm, No. 123
! ρ ... 16.973 g/cm³
! Density of states at the Fermi level ... 1.71 states/eV per cell
! Volume ... 70 Å³ per cell

=====

## Q
! HgTeIr2 | Alexandria | meta-GGA SCAN | single point on PBEsol structure; values from VASP
&SYSTEM
  ibrav = 0, nat = 4, ntyp = 3
/
ATOMIC_SPECIES
Ir 192.22 Ir.upf
Hg 200.59 Hg.upf
Te 127.60 Te.upf
CELL_PARAMETERS angstrom
2.951 0.000 0.000
0.000 4.560 -0.087
-1.476 -1.473 5.861
ATOMIC_POSITIONS crystal
Ir 0.240 0.754 0.480
Ir 0.933 0.890 0.867
Hg 0.779 0.279 0.559
Te 0.547 0.577 0.094
! Space group ... Cm, No. 8
! ρ ... 15.076 g/cm³
! Density of states at the Fermi level ... 2.80 states/eV per cell
! Volume ... 78 Å³ per cell

=====

Which of them is most stable? Easy: Q.

=====

## P
! HfBe3Ni | Alexandria | meta-GGA SCAN | single point on PBEsol structure; values from VASP
&SYSTEM
  ibrav = 0, nat = 5, ntyp = 3
/
ATOMIC_SPECIES
Be 9.01 Be.upf
Hf 178.49 Hf.upf
Ni 58.69 Ni.upf
CELL_PARAMETERS angstrom
4.493 0.000 0.000
0.000 4.493 0.000
0.000 0.000 4.493
ATOMIC_POSITIONS crystal
Be 0.500 0.000 0.000
Be 0.000 0.000 0.500
Be 0.000 0.500 0.000
Hf 0.000 0.000 0.000
Ni 0.500 0.500 0.500
! Space group ... Pm-3m, No. 221
! ρ ... 4.838 g/cm³
! Density of states at the Fermi level ... 3.40 states/eV per cell
! Volume ... 91 Å³ per cell

=====

## Q
! HfBe3Ni | Alexandria | meta-GGA SCAN | single point on PBEsol structure; values from VASP
&SYSTEM
  ibrav = 0, nat = 5, ntyp = 3
/
ATOMIC_SPECIES
Be 9.01 Be.upf
Hf 178.49 Hf.upf
Ni 58.69 Ni.upf
CELL_PARAMETERS angstrom
-2.445 2.484 1.727
-1.157 -2.819 2.417
2.796 1.006 2.510
ATOMIC_POSITIONS crystal
Be 0.000 0.500 0.000
Be 0.500 0.000 0.000
Be 0.000 0.000 0.500
Hf 0.500 0.500 0.500
Ni 0.000 0.000 0.000
! Space group ... Pm-3m, No. 221
! ρ ... 7.456 g/cm³
! Density of states at the Fermi level ... 0.86 states/eV per cell
! Volume ... 59 Å³ per cell

=====

Which of them is most stable? Easy: Q.

=====

## P
! KIrOs2 | Alexandria | meta-GGA SCAN | single point on PBEsol structure; values from VASP
&SYSTEM
  ibrav = 0, nat = 4, ntyp = 3
/
ATOMIC_SPECIES
Ir 192.22 Ir.upf
Os 190.23 Os.upf
K 39.10 K.upf
CELL_PARAMETERS angstrom
-1.986 -0.023 1.801
-2.484 -0.659 -2.748
0.980 -7.634 0.945
ATOMIC_POSITIONS crystal
Ir 0.000 0.000 0.579
Os 0.501 0.500 0.756
Os 0.002 0.000 0.910
K 0.497 0.500 0.255
! Space group ... Pm, No. 6
! ρ ... 12.990 g/cm³
! Density of states at the Fermi level ... 4.05 states/eV per cell
! Volume ... 78 Å³ per cell

=====

## Q
! KIrOs2 | Alexandria | meta-GGA SCAN | single point on PBEsol structure; values from VASP
&SYSTEM
  ibrav = 0, nat = 4, ntyp = 3
/
ATOMIC_SPECIES
K 39.10 K.upf
Ir 192.22 Ir.upf
Os 190.23 Os.upf
CELL_PARAMETERS angstrom
-2.924 3.130 -0.162
0.214 -2.538 3.813
1.715 1.783 3.500
ATOMIC_POSITIONS crystal
K 0.750 0.500 0.750
Ir 0.500 0.000 0.500
Os 0.000 0.000 0.000
Os 0.250 0.500 0.250
! Space group ... I-4m2, No. 119
! ρ ... 16.068 g/cm³
! Density of states at the Fermi level ... 5.11 states/eV per cell
! Volume ... 63 Å³ per cell

=====

Which of them is most stable? Easy: P.

=====

## P
! BeZnBr2 | Alexandria | meta-GGA SCAN | single point on PBEsol structure; values from VASP
&SYSTEM
  ibrav = 0, nat = 4, ntyp = 3
/
ATOMIC_SPECIES
Br 79.90 Br.upf
Zn 65.41 Zn.upf
Be 9.01 Be.upf
CELL_PARAMETERS angstrom
-2.836 -1.395 -0.524
-0.234 -0.697 3.118
-3.589 6.825 1.257
ATOMIC_POSITIONS crystal
Br 0.500 0.500 0.304
Br 0.000 0.000 0.923
Zn 0.000 0.000 0.505
Be 0.500 0.500 0.768
! Space group ... P4mm, No. 99
! ρ ... 4.852 g/cm³
! Density of states at the Fermi level ... 1.42 states/eV per cell
! Volume ... 80 Å³ per cell

=====

## Q
! BeZnBr2 | Alexandria | meta-GGA SCAN | single point on PBEsol structure; values from VASP
&SYSTEM
  ibrav = 0, nat = 4, ntyp = 3
/
ATOMIC_SPECIES
Br 79.90 Br.upf
Be 9.01 Be.upf
Zn 65.41 Zn.upf
CELL_PARAMETERS angstrom
-2.615 -1.630 -1.436
0.150 -0.906 -3.273
2.861 -8.786 0.842
ATOMIC_POSITIONS crystal
Br 0.716 0.716 0.349
Br 0.284 0.284 0.651
Be 0.000 0.000 0.500
Zn 0.500 0.500 0.000
! Space group ... C2/m, No. 12
! ρ ... 4.281 g/cm³
! Volume ... 91 Å³ per cell

=====

Which of them is most stable? Easy: Q.

=====

## P
! LaMn2Fe | Alexandria | meta-GGA SCAN | single point on PBEsol structure; values from VASP
&SYSTEM
  ibrav = 0, nat = 4, ntyp = 3
/
ATOMIC_SPECIES
Mn 54.94 Mn.upf
La 138.91 La.upf
Fe 55.84 Fe.upf
CELL_PARAMETERS angstrom
3.936 0.000 0.000
0.000 3.936 0.000
0.000 0.000 4.203
ATOMIC_POSITIONS crystal
Mn 0.000 0.500 0.000
Mn 0.500 0.000 0.000
La 0.000 0.000 0.500
Fe 0.500 0.500 0.500
! Space group ... P4/mmm, No. 123
! ρ ... 7.768 g/cm³
! Density of states at the Fermi level ... 2.15 states/eV per cell
! Volume ... 65 Å³ per cell

=====

## Q
! LaMn2Fe | Alexandria | meta-GGA SCAN | single point on PBEsol structure; values from VASP
&SYSTEM
  ibrav = 0, nat = 4, ntyp = 3
/
ATOMIC_SPECIES
Mn 54.94 Mn.upf
La 138.91 La.upf
Fe 55.84 Fe.upf
CELL_PARAMETERS angstrom
-2.595 1.315 1.488
-2.035 0.426 -3.926
0.466 -5.086 1.720
ATOMIC_POSITIONS crystal
Mn 0.778 0.778 0.557
Mn 0.222 0.222 0.443
La 0.000 0.500 0.000
Fe 0.500 0.000 0.000
! Space group ... Immm, No. 71
! ρ ... 7.525 g/cm³
! Density of states at the Fermi level ... 2.38 states/eV per cell
! Volume ... 67 Å³ per cell

=====

Which of them is most stable? Easy: Q.

=====

## P
! AgP2Br | Alexandria | meta-GGA SCAN | single point on PBEsol structure; values from VASP
&SYSTEM
  ibrav = 0, nat = 4, ntyp = 3
/
ATOMIC_SPECIES
P 30.97 P.upf
Br 79.90 Br.upf
Ag 107.87 Ag.upf
CELL_PARAMETERS angstrom
-0.672 -1.737 1.889
0.736 -3.635 -3.079
5.942 1.466 3.462
ATOMIC_POSITIONS crystal
P 0.000 0.000 0.500
P 0.000 0.500 0.500
Br 0.500 0.500 0.000
Ag 0.500 0.000 0.000
! Space group ... Cmmm, No. 65
! ρ ... 4.909 g/cm³
! Density of states at the Fermi level ... 2.05 states/eV per cell
! Volume ... 84 Å³ per cell

=====

## Q
! AgP2Br | Alexandria | meta-GGA SCAN | single point on PBEsol structure; values from VASP
&SYSTEM
  ibrav = 0, nat = 4, ntyp = 3
/
ATOMIC_SPECIES
Br 79.90 Br.upf
P 30.97 P.upf
Ag 107.87 Ag.upf
CELL_PARAMETERS angstrom
4.561 -0.004 -0.006
-1.575 4.280 0.006
-1.575 -2.081 3.740
ATOMIC_POSITIONS crystal
Br 0.000 0.000 0.000
P 0.500 0.500 0.000
P 0.500 0.000 0.500
Ag 0.000 0.500 0.500
! Space group ... I4/mmm, No. 139
! ρ ... 5.681 g/cm³
! Density of states at the Fermi level ... 2.01 states/eV per cell
! Volume ... 73 Å³ per cell

=====

Which of them is most stable? Easy: Q.

=====

## P
! CrRuO2 | Alexandria | meta-GGA SCAN | single point on PBEsol structure; values from VASP
&SYSTEM
  ibrav = 0, nat = 4, ntyp = 3
/
ATOMIC_SPECIES
O 16.00 O.upf
Cr 52.00 Cr.upf
Ru 101.07 Ru.upf
CELL_PARAMETERS angstrom
-1.024 0.230 -3.621
2.184 -1.510 -2.677
-1.135 -3.090 -1.838
ATOMIC_POSITIONS crystal
O 0.750 0.750 0.750
O 0.250 0.250 0.250
Cr 0.000 0.000 0.000
Ru 0.500 0.500 0.500
! Space group ... Fm-3m, No. 225
! ρ ... 8.112 g/cm³
! Density of states at the Fermi level ... 3.41 states/eV per cell
! Volume ... 38 Å³ per cell

=====

## Q
! CrRuO2 | Alexandria | meta-GGA SCAN | single point on PBEsol structure; values from VASP
&SYSTEM
  ibrav = 0, nat = 4, ntyp = 3
/
ATOMIC_SPECIES
Cr 52.00 Cr.upf
Ru 101.07 Ru.upf
O 16.00 O.upf
CELL_PARAMETERS angstrom
2.820 0.000 0.000
1.410 2.442 0.000
1.410 0.814 6.317
ATOMIC_POSITIONS crystal
Cr 0.000 0.000 0.000
Ru 0.500 0.500 0.500
O 0.100 0.100 0.700
O 0.900 0.900 0.300
! Space group ... R-3m, No. 166
! ρ ... 7.064 g/cm³
! Density of states at the Fermi level ... 1.71 states/eV per cell
! Volume ... 44 Å³ per cell

=====

Which of them is most stable? Easy: Q.